# SmTiNbBi2O9 (meta-GGA SCAN, PBEsol geometry)
# **Raw total energy**: -24.50 eV per atom
# **Volume**: 365.2 Å³/cell
# **D(E_F)**: 0.000 states/eV/f.u.
# **E_form (uncorrected)**: -2579 meV per atom
data_SmTiNbBi2O9
_cell_length_a 5.387
_cell_length_b 5.425
_cell_length_c 12.764
_cell_angle_alpha 90.00
_cell_angle_beta 101.74
_cell_angle_gamma 90.00
_space_group_name_H-M_alt 'P 1 21 1'
_space_group_IT_number 4
loop_
_space_group_symop_operation_xyz
'x,y,z'
'-x,y+1/2,-z'
loop_
_atom_site_label
_atom_site_type_symbol
_atom_site_fract_x
_atom_site_fract_y
_atom_site_fract_z
_atom_site_occupancy
Sm1 Sm 0.242 0.000 0.000 1
Ti1 Ti 0.334 0.536 0.170 1
Nb1 Nb 0.176 0.539 0.830 1
Bi1 Bi 0.026 0.973 0.602 1
Bi2 Bi 0.428 0.964 0.397 1
O1 O 0.022 0.539 0.684 1
O2 O 0.023 0.770 0.121 1
O3 O 0.097 0.273 0.122 1
O4 O 0.244 0.736 0.502 1
O5 O 0.258 0.237 0.502 1
O6 O 0.328 0.550 0.310 1
O7 O 0.335 0.574 0.000 1
O8 O 0.358 0.864 0.827 1
O9 O 0.481 0.359 0.828 1